Density functional theory data (GGA+U) for Pu2CoO11 after structural relaxation.

Unit cell a=7.528 b=7.528 c=10.172 alpha=117.47 beta=117.47 gamma=74.46
Element x y z (fractional)
1 Pu 0.104 0.896 0.500
2 Pu 0.309 0.653 0.992
3 Pu 0.653 0.309 0.492
4 Pu 0.896 0.104 0.000
5 Co 0.123 0.374 0.485
6 Co 0.374 0.123 0.985
7 O 0.022 0.795 0.285
8 O 0.027 0.810 0.976
9 O 0.087 0.624 0.485
10 O 0.143 0.179 0.016
11 O 0.179 0.143 0.516
12 O 0.209 0.992 0.721
13 O 0.226 0.528 0.775
14 O 0.349 0.383 0.000
15 O 0.383 0.349 0.500
16 O 0.386 0.774 0.206
17 O 0.401 0.872 0.984
18 O 0.453 0.765 0.493
19 O 0.528 0.226 0.275
20 O 0.576 0.691 0.591
21 O 0.624 0.087 0.985
22 O 0.691 0.576 0.091
23 O 0.765 0.453 0.993
24 O 0.774 0.386 0.706
25 O 0.795 0.022 0.785
26 O 0.810 0.027 0.476
27 O 0.872 0.401 0.484
28 O 0.992 0.209 0.221

Calculated values
final energy	-7.686	eV/atom
density of states at the Fermi level	5.8	states/eV/f.u.